1.
A plane-wave DFT calculation with GGA-PBE was carried out for an optimized crystal structure of Li2LaSc2.

Output
Distance to the lowest polymorph of the same formula, eV/f.u.: 0.48
Symmetry: I4/mmm (139)

abc: 4.1749 4.1749 8.1414
angles: 75.14 75.14 90.00
With the nearest neighbours (Å) after each atom.
Atoms (fractional coordinates):
Sc  0.3964  0.3964  0.2072  4 Li 3.05, 1 Sc 3.14, 4 La 3.34
Sc  0.6036  0.6036  0.7928  4 Li 3.05, 1 Sc 3.14, 4 La 3.34
Li  0.7500  0.2500  0.5000  4 Li 2.95, 4 Sc 3.05
Li  0.2500  0.7500  0.5000  4 Li 2.95, 4 Sc 3.05
La  0.0000  0.0000  0.0000  8 Sc 3.34



2.
A plane-wave DFT calculation with GGA-PBE was carried out for an optimized crystal structure of LiLaSc.

Output
Distance to the lowest polymorph of the same formula, eV/f.u.: 2.23
Symmetry: F-43m (216)

abc: 5.0715 5.0715 5.0715
angles: 60.00 60.00 60.00
With the nearest neighbours (Å) after each atom.
Atoms (fractional coordinates):
La  0.2500  0.2500  0.2500  4 Li 3.11, 4 Sc 3.11
Li  0.0000  0.0000  0.0000  4 La 3.11
Sc  0.5000  0.5000  0.5000  4 La 3.11



3.
A plane-wave DFT calculation with GGA-PBE was carried out for an optimized crystal structure of LiLaSc2.

Output
Distance to the lowest polymorph of the same formula, eV/f.u.: 0.53
Symmetry: I4/mmm (139)

abc: 6.0876 6.0876 6.0876
angles: 136.21 136.21 63.65
With the nearest neighbours (Å) after each atom.
Atoms (fractional coordinates):
La  0.2500  0.7500  0.5000  4 Li 3.21, 8 Sc 3.44
Li  0.7500  0.2500  0.5000  4 La 3.21, 8 Sc 3.44
Sc  0.0000  0.0000  0.0000  4 Sc 3.21, 4 La 3.44, 4 Li 3.44
Sc  0.5000  0.5000  0.0000  4 Sc 3.21, 4 Li 3.44, 4 La 3.44



Number 1: density 3.05 g/cm3, formation energy 0.319 eV per atom. Number 2: density 3.44 g/cm3, formation energy 0.847 eV per atom. Number 3: density 3.67 g/cm3, formation energy 0.245 eV per atom.